Entry 1:
First-principles (PBEsol) data for Ba2Ta15O32 after structural relaxation, as listed in the Alexandria database.

Lattice parameters (Å, degrees): 7.771 7.771 12.685 72.17 72.16 60.00
Positions (direct):
Ba 0.860 0.861 0.419
Ba 0.140 0.141 0.581
Ta 0.427 0.305 0.298
Ta 0.971 0.427 0.298
Ta 0.304 0.972 0.298
Ta 0.573 0.696 0.702
Ta 0.029 0.574 0.702
Ta 0.695 0.030 0.702
Ta 0.500 0.501 0.500
Ta 0.942 0.186 0.097
Ta 0.776 0.942 0.097
Ta 0.185 0.777 0.097
Ta 0.058 0.816 0.903
Ta 0.224 0.059 0.903
Ta 0.815 0.225 0.903
Ta 0.639 0.639 0.084
Ta 0.361 0.362 0.916
O 0.571 0.162 0.001
O 0.265 0.572 0.001
O 0.162 0.266 0.001
O 0.428 0.839 0.999
O 0.734 0.429 0.999
O 0.838 0.735 0.999
O 0.546 0.315 0.405
O 0.734 0.547 0.405
O 0.315 0.735 0.405
O 0.454 0.686 0.595
O 0.265 0.454 0.595
O 0.685 0.266 0.595
O 0.441 0.031 0.380
O 0.147 0.442 0.380
O 0.031 0.148 0.380
O 0.559 0.970 0.620
O 0.852 0.559 0.620
O 0.969 0.853 0.620
O 0.696 0.136 0.205
O 0.963 0.696 0.205
O 0.135 0.964 0.205
O 0.304 0.865 0.795
O 0.036 0.305 0.795
O 0.864 0.037 0.795
O 0.840 0.428 0.188
O 0.544 0.841 0.188
O 0.427 0.545 0.188
O 0.160 0.573 0.812
O 0.455 0.161 0.812
O 0.572 0.456 0.812
O 0.262 0.263 0.213
O 0.738 0.738 0.787

***

Entry 2:
First-principles (PBEsol) data for TcP2RhS after structural relaxation, as listed in the Alexandria database.

Lattice parameters (Å, degrees): 4.410 4.410 4.626 90.00 90.00 90.00
Last column: magnetic moment on the atom in μB.
Positions (direct):
P 0.000 0.500 0.000  -0.12
P 0.500 0.000 0.000  -0.12
S 0.000 0.000 0.500  -0.09
Rh 0.000 0.000 0.000  -0.09
Tc 0.500 0.500 0.500  2.51

***

Entry 3:
First-principles (PBEsol) data for RbP2H5O8 after structural relaxation, as listed in the Alexandria database.

Lattice parameters (Å, degrees): 6.477 6.477 9.505 81.55 81.55 73.65
Positions (direct):
Rb 0.000 0.000 0.500
Rb 0.000 0.000 0.000
P 0.625 0.740 0.308
P 0.260 0.375 0.192
P 0.375 0.260 0.692
P 0.740 0.625 0.808
H 0.301 0.699 0.250
H 0.699 0.301 0.750
H 0.545 0.094 0.319
H 0.906 0.455 0.181
H 0.455 0.906 0.681
H 0.094 0.545 0.819
H 0.694 0.630 0.531
H 0.370 0.306 0.969
H 0.306 0.370 0.469
H 0.630 0.694 0.031
O 0.729 0.642 0.169
O 0.358 0.271 0.331
O 0.271 0.358 0.831
O 0.642 0.729 0.669
O 0.377 0.788 0.323
O 0.212 0.623 0.177
O 0.623 0.212 0.677
O 0.788 0.377 0.823
O 0.731 0.574 0.431
O 0.426 0.269 0.069
O 0.269 0.426 0.569
O 0.574 0.731 0.931
O 0.683 0.958 0.316
O 0.042 0.317 0.184
O 0.317 0.042 0.684
O 0.958 0.683 0.816

***

| no. | energy (eV/atom) | volume (Å³/cell) |
| --- | --- | --- |
| 1 | -10.136 | 620.5 |
| 2 | -6.038 | 90.0 |
| 3 | -6.180 | 376.1 |